This record from Alexandria via LeMat-Bulk describes crystalline CeTmMnAl at its relaxed geometry. The functional is PBE.

Calculated values
The electronic total energy is -23.5 eV per cell. The calculated formation energy comes out at -0.04 eV/atom. The space group is F-43m. The total magnetization comes out at 2.32 μB per formula unit.

a = 5.0400 Å, b = 5.0400 Å, c = 5.0400 Å
α = 60.00°, β = 60.00°, γ = 60.00°
Closest atoms and distances in Å follow each position.
Fractional coordinates of all 4 atoms:
Ce (0.0000, 0.0000, 0.0000)  4 Mn 3.09, 4 Al 3.09
Tm (0.5000, 0.5000, 0.5000)  4 Mn 3.09, 4 Al 3.09
Mn (0.2500, 0.2500, 0.2500)  4 Ce 3.09, 4 Tm 3.09
Al (0.7500, 0.7500, 0.7500)  4 Ce 3.09, 4 Tm 3.09